Compound: Tc2AgNO
Source: the Alexandria database
Functional: GGA-PBE
Structure: relaxed

Results
Spin magnetization: 1.921 μB per cell
Space group: No. 123
Raw total energy: -30.3 eV for the cell shown
Raw formation energy: 1318 meV per atom
Fermi-level density of states: 1.15 states/eV/atom

Cell lengths 3.920, 4.719, 3.920 Å; angles 90.00, 90.00, 90.00 degrees
Element x y z (fractional)
O (0.000, 0.000, 0.000)
Tc (0.000, 0.000, 0.500)
Tc (0.500, 0.000, 0.000)
Ag (0.000, 0.500, 0.000)
N (0.500, 0.500, 0.500)